The following is a PBE-GGA calculation of NbAuF3 after structural relaxation, from Alexandria.

Cell lengths 4.478, 4.478, 4.478 Å; angles 90.00, 90.00, 90.00 degrees
Positions (direct):
Nb 0.000 0.000 0.000
Au 0.500 0.500 0.500
F 0.000 0.500 0.500
F 0.500 0.000 0.500
F 0.500 0.500 0.000

Summary:
Volume: 17.96 A^3/atom
Excess energy over the best structure of this formula in the dataset: 6.53 eV per formula unit
Uncorrected formation energy: -0.178 eV/atom
Fermi-level density of states: 9.066 states/eV/f.u.
Magnetization: 3.39 Bohr magnetons per cell


The following is a PBE-GGA calculation of TiInPt2 after structural relaxation, from Alexandria.

Cell lengths 4.849, 4.849, 2.892 Å; angles 90.00, 90.00, 90.00 degrees
Positions (direct):
Ti 0.000 0.000 0.000
In 0.500 0.500 0.000
Pt 0.000 0.500 0.500
Pt 0.500 0.000 0.500

Summary:
Volume: 17.00 A^3/atom
Formation energy: -596 meV/atom
Fermi-level density of states: 3.108 states/eV/f.u.
Magnetization: 0.00 Bohr magnetons per cell


The following is a PBE-GGA calculation of HfMn6Re2 after structural relaxation, from Alexandria.

Cell lengths 7.398, 7.398, 2.765 Å; angles 100.70, 100.70, 53.34 degrees
Positions (direct):
Hf 0.000 0.000 0.000
Mn 0.011 0.353 0.681
Mn 0.332 0.668 0.500
Mn 0.353 0.011 0.681
Mn 0.647 0.989 0.319
Mn 0.668 0.332 0.500
Mn 0.989 0.647 0.319
Re 0.358 0.358 0.858
Re 0.642 0.642 0.142

Summary:
Volume: 13.19 A^3/atom
Formation energy: 219 meV/atom
Fermi-level density of states: 12.013 states/eV/f.u.
Magnetization: 0.00 Bohr magnetons per cell


The following is a PBE-GGA calculation of SrNiP2 after structural relaxation, from Alexandria.

Cell lengths 6.441, 6.441, 6.441 Å; angles 34.03, 34.03, 34.03 degrees
Positions (direct):
Sr 0.000 0.000 0.000
Ni 0.180 0.180 0.180
P 0.557 0.557 0.557
P 0.794 0.794 0.794

Summary:
Volume: 18.65 A^3/atom
Formation energy: -550 meV/atom
Fermi-level density of states: 1.241 states/eV/f.u.
Magnetization: 0.00 Bohr magnetons per cell


The following is a PBE-GGA calculation of AuSeCl7 after structural relaxation, from Alexandria.

Cell lengths 9.319, 10.641, 13.298 Å; angles 90.00, 106.15, 90.00 degrees
Positions (direct):
Au 0.205 0.092 0.027
Au 0.205 0.408 0.527
Au 0.795 0.592 0.473
Au 0.795 0.908 0.973
Se 0.215 0.730 0.981
Se 0.215 0.770 0.481
Se 0.785 0.230 0.519
Se 0.785 0.270 0.019
Cl 0.053 0.248 0.438
Cl 0.053 0.252 0.938
Cl 0.079 0.615 0.852
Cl 0.079 0.885 0.352
Cl 0.117 0.538 0.380
Cl 0.117 0.962 0.880
Cl 0.290 0.583 0.101
Cl 0.290 0.917 0.601
Cl 0.300 0.222 0.168
Cl 0.300 0.278 0.668
Cl 0.350 0.572 0.619
Cl 0.350 0.928 0.119
Cl 0.415 0.734 0.924
Cl 0.415 0.766 0.424
Cl 0.585 0.234 0.576
Cl 0.585 0.266 0.076
Cl 0.650 0.072 0.881
Cl 0.650 0.428 0.381
Cl 0.700 0.722 0.332
Cl 0.700 0.778 0.832
Cl 0.710 0.083 0.399
Cl 0.710 0.417 0.899
Cl 0.883 0.038 0.120
Cl 0.883 0.462 0.620
Cl 0.921 0.115 0.648
Cl 0.921 0.385 0.148
Cl 0.947 0.748 0.062
Cl 0.947 0.752 0.562

Summary:
Volume: 35.18 A^3/atom
Uncorrected formation energy: -0.322 eV/atom
Magnetization: 0.03 Bohr magnetons per cell


The following is a PBE-GGA calculation of Al2CrRh after structural relaxation, from Alexandria.

Cell lengths 4.803, 4.803, 4.803 Å; angles 133.88, 133.88, 67.28 degrees
Positions (direct):
Al 0.000 0.000 0.000
Al 0.750 0.250 0.500
Cr 0.250 0.750 0.500
Rh 0.500 0.500 0.000

Summary:
Volume: 14.15 A^3/atom
Excess energy over the best structure of this formula in the dataset: 0.80 eV per formula unit
Formation energy: -361 meV/atom
Fermi-level density of states: 3.737 states/eV/f.u.
Magnetization: 2.79 Bohr magnetons per cell


The following is a PBE-GGA calculation of UVZn4 after structural relaxation, from Alexandria.

Cell lengths 5.221, 5.221, 5.221 Å; angles 60.00, 60.00, 60.00 degrees
Positions (direct):
U 0.000 0.000 0.000
V 0.250 0.250 0.250
Zn 0.128 0.624 0.624
Zn 0.624 0.128 0.624
Zn 0.624 0.624 0.128
Zn 0.624 0.624 0.624

Summary:
Volume: 16.77 A^3/atom
Formation energy: 114 meV/atom
Fermi-level density of states: 10.964 states/eV/f.u.
Magnetization: 4.60 Bohr magnetons per cell


The following is a PBE-GGA calculation of KMnTc after structural relaxation, from Alexandria.

Cell lengths 2.836, 2.836, 7.810 Å; angles 90.00, 90.00, 120.00 degrees
Positions (direct):
K 0.000 0.000 0.000
Mn 0.667 0.333 0.378
Tc 0.333 0.667 0.607

Summary:
Volume: 18.14 A^3/atom
Excess energy over the best structure of this formula in the dataset: 1.38 eV per formula unit
Formation energy: 1024 meV/atom
Fermi-level density of states: 2.233 states/eV/f.u.
Magnetization: 0.33 Bohr magnetons per cell


The following is a PBE-GGA calculation of Cs2CSe after structural relaxation, from Alexandria.

Cell lengths 6.008, 6.008, 6.008 Å; angles 60.00, 60.00, 60.00 degrees
Positions (direct):
Cs 0.250 0.250 0.250
Cs 0.750 0.750 0.750
C 0.000 0.000 0.000
Se 0.500 0.500 0.500

Summary:
Volume: 38.33 A^3/atom
Uncorrected formation energy: 0.839 eV/atom
Fermi-level density of states: 6.695 states/eV/f.u.
Magnetization: 2.00 Bohr magnetons per cell


The following is a PBE-GGA calculation of PmNd3Dy7 after structural relaxation, from Alexandria.

Cell lengths 5.563, 6.995, 10.075 Å; angles 69.85, 89.98, 89.95 degrees
Positions (direct):
Pm 0.000 0.000 0.000
Nd 0.000 0.500 0.000
Nd 0.500 0.218 0.499
Nd 0.500 0.782 0.501
Dy 0.000 0.084 0.330
Dy 0.000 0.500 0.500
Dy 0.000 0.916 0.670
Dy 0.500 0.180 0.139
Dy 0.500 0.355 0.789
Dy 0.500 0.645 0.211
Dy 0.500 0.820 0.861

Summary:
Volume: 33.46 A^3/atom
Excess energy over the best structure of this formula in the dataset: 0.00 eV per formula unit
Formation energy: 142 meV/atom
Fermi-level density of states: 16.424 states/eV/f.u.
Magnetization: 0.00 Bohr magnetons per cell


The following is a PBE-GGA calculation of BeTlSe2 after structural relaxation, from Alexandria.

Cell lengths 6.884, 6.884, 6.884 Å; angles 126.65, 126.65, 78.82 degrees
Positions (direct):
Be 0.000 0.000 0.000
Be 0.750 0.250 0.500
Tl 0.250 0.750 0.500
Tl 0.500 0.500 0.000
Se 0.029 0.625 0.904
Se 0.375 0.279 0.404
Se 0.721 0.125 0.096
Se 0.875 0.971 0.596

Summary:
Volume: 25.40 A^3/atom
Excess energy over the best structure of this formula in the dataset: 0.00 eV per formula unit
Uncorrected formation energy: -0.410 eV/atom
Fermi-level density of states: 3.122 states/eV/f.u.
Magnetization: 0.00 Bohr magnetons per cell


The following is a PBE-GGA calculation of SmScGaPt after structural relaxation, from Alexandria.

Cell lengths 4.355, 5.776, 5.776 Å; angles 36.92, 90.00, 90.00 degrees
Positions (direct):
Sm 0.000 0.000 0.000
Sc 0.500 0.712 0.712
Ga 0.500 0.417 0.417
Pt 0.000 0.269 0.269

Summary:
Volume: 21.82 A^3/atom
Excess energy over the best structure of this formula in the dataset: 0.00 eV per formula unit
Formation energy: -859 meV/atom
Fermi-level density of states: 3.824 states/eV/f.u.
Magnetization: 0.00 Bohr magnetons per cell